(1)
This record from the Alexandria database describes crystalline La2AlPIr at its relaxed geometry. The functional is GGA-PBE.

Unit cell a=5.634 b=5.634 c=4.350 alpha=90.00 beta=90.00 gamma=90.00
Positions (direct):
La 0.000 0.500 0.000
La 0.500 0.000 0.000
Al 0.000 0.000 0.500
P 0.500 0.500 0.000
Ir 0.500 0.500 0.500

total DFT energy (no corrections)	-6.00	eV per atom
density of states at the Fermi level	5.55	states/eV/cell
ΔE_f	-41.07	kJ/mol of atoms

(2)
This record from the Alexandria database describes crystalline LaAlIr2Pb at its relaxed geometry. The functional is GGA-PBE.

Unit cell a=4.699 b=4.699 c=5.164 alpha=90.00 beta=90.00 gamma=90.00
Positions (direct):
La 0.000 0.000 0.000
Al 0.500 0.500 0.500
Ir 0.000 0.500 0.500
Ir 0.500 0.000 0.500
Pb 0.500 0.500 0.000

total DFT energy (no corrections)	-5.88	eV per atom
density of states at the Fermi level	4.17	states/eV/cell
ΔE_f	13.87	kJ/mol of atoms

(3)
This record from the Alexandria database describes crystalline La2AlIrPb at its relaxed geometry. The functional is GGA-PBE.

Unit cell a=5.555 b=5.555 c=4.847 alpha=90.00 beta=90.00 gamma=90.00
Positions (direct):
La 0.000 0.500 0.000
La 0.500 0.000 0.000
Al 0.000 0.000 0.500
Ir 0.000 0.000 0.000
Pb 0.500 0.500 0.500

total DFT energy (no corrections)	-5.84	eV per atom
density of states at the Fermi level	2.68	states/eV/cell
ΔE_f	-58.33	kJ/mol of atoms

(4)
This record from the Alexandria database describes crystalline LaAl4IrPd2 at its relaxed geometry. The functional is GGA-PBE.

Unit cell a=9.553 b=9.553 c=9.553 alpha=25.87 beta=25.87 gamma=25.87
Positions (direct):
La 0.000 0.000 0.000
Al 0.135 0.135 0.135
Al 0.407 0.407 0.407
Al 0.593 0.593 0.593
Al 0.865 0.865 0.865
Ir 0.500 0.500 0.500
Pd 0.232 0.232 0.232
Pd 0.768 0.768 0.768

total DFT energy (no corrections)	-5.68	eV per atom
density of states at the Fermi level	4.89	states/eV/cell
ΔE_f	-76.27	kJ/mol of atoms

(5)
This record from the Alexandria database describes crystalline La2Al3IrPt12 at its relaxed geometry. The functional is GGA-PBE.

Unit cell a=8.217 b=8.217 c=8.217 alpha=57.53 beta=57.53 gamma=57.53
Positions (direct):
La 0.128 0.128 0.128
La 0.872 0.872 0.872
Al 0.000 0.500 0.500
Al 0.500 0.000 0.500
Al 0.500 0.500 0.000
Ir 0.500 0.500 0.500
Pt 0.112 0.624 0.624
Pt 0.124 0.124 0.631
Pt 0.124 0.631 0.124
Pt 0.369 0.876 0.876
Pt 0.376 0.376 0.888
Pt 0.376 0.888 0.376
Pt 0.624 0.112 0.624
Pt 0.624 0.624 0.112
Pt 0.631 0.124 0.124
Pt 0.876 0.369 0.876
Pt 0.876 0.876 0.369
Pt 0.888 0.376 0.376

total DFT energy (no corrections)	-6.10	eV per atom
density of states at the Fermi level	11.31	states/eV/cell
ΔE_f	-39.92	kJ/mol of atoms

(6)
This record from the Alexandria database describes crystalline LaAl4IrPt2 at its relaxed geometry. The functional is GGA-PBE.

Unit cell a=9.480 b=9.480 c=9.480 alpha=26.04 beta=26.04 gamma=26.04
Positions (direct):
La 0.000 0.000 0.000
Al 0.134 0.134 0.134
Al 0.406 0.406 0.406
Al 0.594 0.594 0.594
Al 0.866 0.866 0.866
Ir 0.500 0.500 0.500
Pt 0.232 0.232 0.232
Pt 0.768 0.768 0.768

total DFT energy (no corrections)	-6.02	eV per atom
density of states at the Fermi level	4.13	states/eV/cell
ΔE_f	-88.16	kJ/mol of atoms